Below is crystalline CsLiTl2 at its relaxed geometry, with properties calculated at the GGA-PBEsol level.

Cell lengths 5.7394, 5.7394, 5.7394 Å; angles 60.00, 60.00, 60.00 degrees
With the nearest neighbours (Å) after each atom.
Fractional coordinates of all 4 atoms:
Tl 0.2500 0.2500 0.2500  4 Li 3.51, 4 Cs 3.51
Tl 0.7500 0.7500 0.7500  4 Li 3.51, 4 Cs 3.51
Li 0.0000 0.0000 0.0000  8 Tl 3.51
Cs 0.5000 0.5000 0.5000  8 Tl 3.51

Its total magnetization is 0.0 μB per formula unit. For the formation energy, the calculation gives 112 meV/atom.

Below is crystalline CsLiY2Zn at its relaxed geometry, with properties calculated at the GGA-PBEsol level.

Cell lengths 5.4160, 5.4160, 5.7676 Å; angles 90.00, 90.00, 90.00 degrees
With the nearest neighbours (Å) after each atom.
Fractional coordinates of all 5 atoms:
Li 0.0000 0.0000 0.0000  4 Y 2.71, 2 Cs 2.88
Cs 0.0000 0.0000 0.5000  2 Li 2.88
Y 0.0000 0.5000 0.0000  2 Li 2.71
Y 0.5000 0.0000 0.0000  2 Li 2.71
Zn 0.5000 0.5000 0.5000  4 Cs 3.83, 8 Y 3.96

Its total magnetization is 1.0 μB per formula unit. For the formation energy, the calculation gives 899 meV/atom.

Below is crystalline Cs3LiZn at its relaxed geometry, with properties calculated at the GGA-PBEsol level.

Cell lengths 7.3780, 7.3780, 7.3780 Å; angles 90.00, 90.00, 90.00 degrees
With the nearest neighbours (Å) after each atom.
Fractional coordinates of all 5 atoms:
Cs 0.0000 0.5000 0.0000  2 Li 3.69
Cs 0.5000 0.0000 0.0000  2 Li 3.69
Cs 0.0000 0.0000 0.5000  2 Li 3.69
Zn 0.5000 0.5000 0.5000  12 Cs 5.22
Li 0.0000 0.0000 0.0000  6 Cs 3.69

Its total magnetization is 0.0 μB per formula unit. For the formation energy, the calculation gives 412 meV/atom.